(1)
{
  "formula": "SmHo7Al4",
  "functional": "PBE",
  "state": "relaxed",
  "space_group": "C2/m",
  "lattice_angstrom": [[6.9173, -2.7386, 0.0000], [6.9173, 2.7386, 0.0000], [-5.8955, 0.0000, 8.5613]],
  "species": ["Sm", "Ho", "Ho", "Ho", "Ho", "Ho", "Ho", "Ho", "Al", "Al", "Al", "Al"],
  "fractional_positions": [[0.0000, 0.0000, 0.0000], [0.0657, 0.0657, 0.3903], [0.2127, 0.2127, 0.8767], [0.2980, 0.2980, 0.3556], [0.5000, 0.5000, 0.0000], [0.7020, 0.7020, 0.6444], [0.7873, 0.7873, 0.1233], [0.9343, 0.9343, 0.6097], [0.3228, 0.3228, 0.6678], [0.4453, 0.4453, 0.2369], [0.5547, 0.5547, 0.7631], [0.6772, 0.6772, 0.3322]]
}

***

(2)
{
  "formula": "SmHo2Al",
  "functional": "PBE",
  "state": "relaxed",
  "space_group": "R3m",
  "polymorph_energy_ev_per_atom": 0.125,
  "lattice_angstrom": [[3.5726, 0.0000, 0.0000], [-1.7863, 3.0940, 0.0000], [0.0000, 0.0000, 31.3968]],
  "species": ["Sm", "Sm", "Sm", "Ho", "Ho", "Ho", "Ho", "Ho", "Ho", "Al", "Al", "Al"],
  "fractional_positions": [[0.0000, 0.0000, 0.0000], [0.3333, 0.6667, 0.6667], [0.6667, 0.3333, 0.3333], [0.0000, 0.0000, 0.2388], [0.0000, 0.0000, 0.4282], [0.3333, 0.6667, 0.0949], [0.3333, 0.6667, 0.9055], [0.6667, 0.3333, 0.5721], [0.6667, 0.3333, 0.7616], [0.0000, 0.0000, 0.8339], [0.3333, 0.6667, 0.5005], [0.6667, 0.3333, 0.1672]]
}

***

(3)
{
  "formula": "SmHo3Al3",
  "functional": "PBE",
  "state": "relaxed",
  "space_group": "Cmmm",
  "lattice_angstrom": [[5.0803, -5.1752, 0.0000], [5.0803, 5.1752, 0.0000], [0.0000, 0.0000, 6.9237]],
  "species": ["Sm", "Sm", "Ho", "Ho", "Ho", "Ho", "Ho", "Ho", "Al", "Al", "Al", "Al", "Al", "Al"],
  "fractional_positions": [[0.2405, 0.2405, 0.0000], [0.7595, 0.7595, 0.0000], [0.2384, 0.2384, 0.5000], [0.2438, 0.7562, 0.5000], [0.2524, 0.7476, 0.0000], [0.7476, 0.2524, 0.0000], [0.7562, 0.2438, 0.5000], [0.7616, 0.7616, 0.5000], [0.0000, 0.5000, 0.2580], [0.0000, 0.5000, 0.7420], [0.5000, 0.0000, 0.2580], [0.5000, 0.0000, 0.7420], [0.5000, 0.5000, 0.2647], [0.5000, 0.5000, 0.7353]]
}

***

(4)
{
  "formula": "SmHo3Al2",
  "functional": "PBE",
  "state": "relaxed",
  "space_group": "P4/mmm",
  "polymorph_energy_ev_per_atom": 0.000,
  "lattice_angstrom": [[3.5395, 0.0000, 0.0000], [0.0000, 3.5395, 0.0000], [0.0000, 0.0000, 12.6120]],
  "species": ["Sm", "Ho", "Ho", "Ho", "Al", "Al"],
  "fractional_positions": [[0.0000, 0.0000, 0.0000], [0.5000, 0.5000, 0.2052], [0.5000, 0.5000, 0.5000], [0.5000, 0.5000, 0.7948], [0.0000, 0.0000, 0.3518], [0.0000, 0.0000, 0.6482]]
}

***

(5)
{
  "formula": "SmHo6Al",
  "functional": "PBE",
  "state": "relaxed",
  "space_group": "R-3",
  "lattice_angstrom": [[4.5779, 2.6431, 3.3184], [-4.5779, 2.6431, 3.3184], [0.0000, -5.2861, 3.3184]],
  "species": ["Sm", "Ho", "Ho", "Ho", "Ho", "Ho", "Ho", "Al"],
  "fractional_positions": [[0.0000, 0.0000, 0.0000], [0.0567, 0.5378, 0.2620], [0.2620, 0.0567, 0.5378], [0.4622, 0.7380, 0.9433], [0.5378, 0.2620, 0.0567], [0.7380, 0.9433, 0.4622], [0.9433, 0.4622, 0.7380], [0.5000, 0.5000, 0.5000]]
}

***

(6)
{
  "formula": "SmHoAl3",
  "functional": "PBE",
  "state": "relaxed",
  "space_group": "Cmcm",
  "lattice_angstrom": [[1.8149, -13.8211, 0.0000], [1.8149, 13.8211, 0.0000], [0.0000, 0.0000, 4.5516]],
  "species": ["Sm", "Sm", "Ho", "Ho", "Al", "Al", "Al", "Al", "Al", "Al"],
  "fractional_positions": [[0.0725, 0.9275, 0.7500], [0.9275, 0.0725, 0.2500], [0.2114, 0.7886, 0.2500], [0.7886, 0.2114, 0.7500], [0.3274, 0.6726, 0.2500], [0.3798, 0.6202, 0.7500], [0.4759, 0.5241, 0.7500], [0.5241, 0.4759, 0.2500], [0.6202, 0.3798, 0.2500], [0.6726, 0.3274, 0.7500]]
}

***

| no. | energy of formation from the pure elements (kJ per mole of atoms) |
| --- | --- |
| 1 | -5.2 |
| 2 | -6.8 |
| 3 | -25.2 |
| 4 | -24.6 |
| 5 | 4.2 |
| 6 | -43.4 |